Record 1
! Rb2VSeCl6 GGA-PBE optimized geometry; values from VASP
! * formation energy from raw total energies: -110 kJ per mole of atoms
! * D(E_F): 0.97 states/eV per atom
! * magnetization: 1.0 μB/f.u.
! * V: 303 Å³/f.u.
&SYSTEM
  ibrav = 0, nat = 10, ntyp = 4
/
ATOMIC_SPECIES
Rb 85.47 Rb.upf
V 50.94 V.upf
Se 78.96 Se.upf
Cl 35.45 Cl.upf
ATOMIC_POSITIONS crystal
Rb 0.250 0.750 0.500
Rb 0.750 0.250 0.500
V 0.000 0.000 0.000
Se 0.500 0.500 0.000
Cl 0.207 0.207 0.413
Cl 0.207 0.793 0.000
Cl 0.248 0.248 0.000
Cl 0.752 0.752 0.000
Cl 0.793 0.207 0.000
Cl 0.793 0.793 0.587
CELL_PARAMETERS angstrom
-4.084 4.084 4.547
4.084 -4.084 4.547
4.084 4.084 -4.547

---

Record 2
! Y2Cr2As GGA-PBE optimized geometry; values from VASP
! * formation energy: -0.11 eV per formula unit
! * D(E_F): 1.26 states/eV per atom
! * magnetization: 0.0 μB/f.u.
! * V: 101 Å³/f.u.
&SYSTEM
  ibrav = 0, nat = 5, ntyp = 3
/
ATOMIC_SPECIES
Y 88.91 Y.upf
Cr 52.00 Cr.upf
As 74.92 As.upf
ATOMIC_POSITIONS crystal
Y 0.106 0.106 0.000
Y 0.894 0.894 0.000
Cr 0.250 0.750 0.500
Cr 0.750 0.250 0.500
As 0.500 0.500 0.000
CELL_PARAMETERS angstrom
-1.698 1.698 8.766
1.698 -1.698 8.766
1.698 1.698 -8.766

---

Record 3
! BaP2Cl GGA-PBE optimized geometry; values from VASP
! * formation energy from raw total energies: -89 kJ per mole of atoms
! * D(E_F): 0.26 states/eV per atom
! * ΔE to the lowest computed polymorph: 67 meV/atom
! * magnetization: 0.0 μB/f.u.
! * V: 126 Å³/f.u.
&SYSTEM
  ibrav = 0, nat = 4, ntyp = 3
/
ATOMIC_SPECIES
Ba 137.33 Ba.upf
P 30.97 P.upf
Cl 35.45 Cl.upf
ATOMIC_POSITIONS crystal
Ba 0.000 0.000 0.000
P 0.415 0.415 0.343
P 0.774 0.774 0.269
Cl 0.238 0.238 0.795
CELL_PARAMETERS angstrom
4.548 -1.855 0.000
4.548 1.855 0.000
-2.553 0.000 7.479

---

Record 4
! Tc2Ir6Rh GGA-PBE optimized geometry; values from VASP
! * formation energy: -0.95 eV per formula unit
! * D(E_F): 0.83 states/eV per atom
! * ΔE to the lowest computed polymorph: 0 meV/atom
! * magnetization: 0.0 μB/f.u.
! * V: 130 Å³/f.u.
&SYSTEM
  ibrav = 0, nat = 9, ntyp = 3
/
ATOMIC_SPECIES
Tc 98.00 Tc.upf
Ir 192.22 Ir.upf
Rh 102.91 Rh.upf
ATOMIC_POSITIONS crystal
Tc 0.168 0.168 0.224
Tc 0.832 0.832 0.776
Ir 0.168 0.168 0.891
Ir 0.169 0.169 0.554
Ir 0.500 0.500 0.331
Ir 0.500 0.500 0.669
Ir 0.831 0.831 0.446
Ir 0.832 0.832 0.109
Rh 0.500 0.500 0.000
CELL_PARAMETERS angstrom
5.965 -1.364 0.000
5.965 1.364 0.000
-1.877 0.000 7.996

---

Record 5
! V4Ni2As GGA-PBE optimized geometry; values from VASP
! * formation energy: 4.85 eV per formula unit
! * D(E_F): 1.63 states/eV per atom
! * magnetization: 3.5 μB/f.u.
! * V: 117 Å³/f.u.
&SYSTEM
  ibrav = 0, nat = 7, ntyp = 3
/
ATOMIC_SPECIES
V 50.94 V.upf
Ni 58.69 Ni.upf
As 74.92 As.upf
ATOMIC_POSITIONS crystal
V 0.000 0.500 0.500
V 0.204 0.204 0.000
V 0.500 0.000 0.500
V 0.796 0.796 0.000
Ni 0.392 0.392 0.000
Ni 0.608 0.608 0.000
As 0.000 0.000 0.000
CELL_PARAMETERS angstrom
-2.227 2.227 5.890
2.227 -2.227 5.890
2.227 2.227 -5.890

---

Record 6
! Na4Mg5 GGA-PBE optimized geometry; values from VASP
! * formation energy: 1.24 eV per formula unit
! * D(E_F): 0.51 states/eV per atom
! * ΔE to the lowest computed polymorph: 33 meV/atom
! * magnetization: 0.0 μB/f.u.
! * V: 248 Å³/f.u.
&SYSTEM
  ibrav = 0, nat = 18, ntyp = 2
/
ATOMIC_SPECIES
Na 22.99 Na.upf
Mg 24.30 Mg.upf
ATOMIC_POSITIONS crystal
Na 0.000 0.000 0.000
Na 0.000 0.000 0.500
Na 0.000 0.299 0.250
Na 0.000 0.701 0.750
Na 0.299 0.000 0.250
Na 0.299 0.299 0.750
Na 0.701 0.000 0.750
Na 0.701 0.701 0.250
Mg 0.000 0.383 0.750
Mg 0.000 0.617 0.250
Mg 0.333 0.667 0.000
Mg 0.333 0.667 0.500
Mg 0.383 0.000 0.750
Mg 0.383 0.383 0.250
Mg 0.617 0.000 0.250
Mg 0.617 0.617 0.750
Mg 0.667 0.333 0.000
Mg 0.667 0.333 0.500
CELL_PARAMETERS angstrom
9.567 0.000 0.000
-4.783 8.285 0.000
0.000 0.000 6.260

---

Record 7
! Dy6Ho5Mg GGA-PBE optimized geometry; values from VASP
! * formation energy: 0.26 eV per formula unit
! * D(E_F): 1.43 states/eV per atom
! * magnetization: 0.0 μB/f.u.
! * V: 367 Å³/f.u.
&SYSTEM
  ibrav = 0, nat = 12, ntyp = 3
/
ATOMIC_SPECIES
Dy 162.50 Dy.upf
Ho 164.93 Ho.upf
Mg 24.30 Mg.upf
ATOMIC_POSITIONS crystal
Dy 0.081 0.833 0.248
Dy 0.250 0.500 0.750
Dy 0.415 0.167 0.248
Dy 0.585 0.833 0.752
Dy 0.750 0.500 0.250
Dy 0.919 0.167 0.752
Ho 0.167 0.667 0.500
Ho 0.334 0.334 0.000
Ho 0.500 0.000 0.500
Ho 0.666 0.666 0.000
Ho 0.833 0.333 0.500
Mg 0.000 0.000 0.000
CELL_PARAMETERS angstrom
-2.487 4.951 7.452
2.487 -4.951 7.452
2.487 4.951 -7.452

---

Record 8
! LiHg2Te2 GGA-PBE optimized geometry; values from VASP
! * formation energy from raw total energies: -8 kJ per mole of atoms
! * D(E_F): 0.76 states/eV per atom
! * ΔE to the lowest computed polymorph: 129 meV/atom
! * magnetization: 0.0 μB/f.u.
! * V: 149 Å³/f.u.
&SYSTEM
  ibrav = 0, nat = 5, ntyp = 3
/
ATOMIC_SPECIES
Li 6.94 Li.upf
Hg 200.59 Hg.upf
Te 127.60 Te.upf
ATOMIC_POSITIONS crystal
Li 0.000 0.000 0.000
Hg 0.335 0.335 0.000
Hg 0.665 0.665 0.000
Te 0.250 0.750 0.500
Te 0.750 0.250 0.500
CELL_PARAMETERS angstrom
-2.903 2.903 4.421
2.903 -2.903 4.421
2.903 2.903 -4.421